Entry i
The following is a DFT calculation (PBE-GGA) of a geometry-optimized HgRhN2F structure.

Cell lengths 3.903, 3.903, 4.394 Å; angles 90.00, 90.00, 90.00 degrees
Atoms (fractional coordinates):
N  0.000  0.500  0.000
N  0.500  0.000  0.000
Rh  0.000  0.000  0.000
Hg  0.500  0.500  0.500
F  0.000  0.000  0.500

=====

Entry ii
The following is a DFT calculation (PBE-GGA) of a geometry-optimized HgRhN2F structure.

Cell lengths 4.195, 4.195, 4.332 Å; angles 90.00, 90.00, 90.00 degrees
Atoms (fractional coordinates):
N  0.000  0.500  0.000
N  0.500  0.000  0.000
Rh  0.500  0.500  0.500
Hg  0.000  0.000  0.000
F  0.000  0.000  0.500

=====

Verdict on stability: entry i comes out on top.